i:
! PmYSe2 | Alexandria | PBE | optimized geometry; values from VASP
&SYSTEM
  ibrav = 0, nat = 8, ntyp = 3
/
ATOMIC_SPECIES
Se 78.96 Se.upf
Pm 145.00 Pm.upf
Y 88.91 Y.upf
CELL_PARAMETERS angstrom
4.074 0.000 0.000
-2.037 3.529 0.000
0.000 0.000 14.017
ATOMIC_POSITIONS crystal
Se 0.333 0.667 0.381
Se 0.667 0.333 0.619
Se 0.667 0.333 0.881
Se 0.333 0.667 0.119
Pm 0.667 0.333 0.250
Pm 0.333 0.667 0.750
Y 0.000 0.000 0.000
Y 0.000 0.000 0.500
! - total magnetization (μB per formula unit) = 0.0

ii:
! PmYSe2 | Alexandria | PBE | optimized geometry; values from VASP
&SYSTEM
  ibrav = 0, nat = 4, ntyp = 3
/
ATOMIC_SPECIES
Pm 145.00 Pm.upf
Y 88.91 Y.upf
Se 78.96 Se.upf
CELL_PARAMETERS angstrom
-1.031 4.369 2.383
-4.712 0.939 1.659
-0.985 0.004 4.987
ATOMIC_POSITIONS crystal
Pm 0.000 0.000 0.000
Y 0.500 0.500 0.500
Se 0.250 0.250 0.250
Se 0.750 0.750 0.750
! - total magnetization (μB per formula unit) = 0.0

Result of the stability comparison: i is the most stable of them.